# 1
Material: Zn2CoNi
Method: DFT, PBE
State: relaxed

CIF file:
```
data_Zn2CoNi
_chemical_formula_sum 'Zn2 Co1 Ni1'
_cell_length_a 4.0999
_cell_length_b 4.0999
_cell_length_c 4.0999
_cell_angle_alpha 60.00
_cell_angle_beta 60.00
_cell_angle_gamma 60.00
_space_group_name_H-M_alt 'P 1'
_space_group_IT_number 1
loop_
_space_group_symop_operation_xyz
'x,y,z'
loop_
_atom_site_label
_atom_site_fract_x
_atom_site_fract_y
_atom_site_fract_z
Co1 0.5000 0.5000 0.5000
Ni1 0.7500 0.7500 0.7500
Zn1 0.0000 0.0000 0.0000
Zn2 0.2500 0.2500 0.2500
```

Output
ΔH_f (0 K) = 0.010 eV per atom
symmetry = F-43m (216)

***

# 2
Material: ZnCoNi
Method: DFT, PBE
State: relaxed

CIF file:
```
data_ZnCoNi
_chemical_formula_sum 'Zn4 Co4 Ni4'
_cell_length_a 4.4167
_cell_length_b 7.6590
_cell_length_c 4.3862
_cell_angle_alpha 90.00
_cell_angle_beta 108.34
_cell_angle_gamma 90.00
_space_group_name_H-M_alt 'P 1'
_space_group_IT_number 1
loop_
_space_group_symop_operation_xyz
'x,y,z'
loop_
_atom_site_label
_atom_site_fract_x
_atom_site_fract_y
_atom_site_fract_z
Ni1 0.0000 0.0000 0.0000
Ni2 0.0000 0.5000 0.5000
Ni3 0.5000 0.0000 0.5000
Ni4 0.5000 0.5000 0.0000
Zn1 0.5000 0.6660 0.5000
Zn2 0.5000 0.3340 0.5000
Zn3 0.5000 0.1660 0.0000
Zn4 0.5000 0.8340 0.0000
Co1 0.0000 0.6634 0.0000
Co2 0.0000 0.3366 0.0000
Co3 0.0000 0.1634 0.5000
Co4 0.0000 0.8366 0.5000
```

Output
ΔH_f (0 K) = -0.035 eV per atom
energy above the most stable polymorph in this dataset = 3.2 kJ per mole of atoms
symmetry = C2/m (12)

***

# 3
Material: ZnCo4Ni
Method: DFT, PBE
State: relaxed

CIF file:
```
data_ZnCo4Ni
_chemical_formula_sum 'Zn1 Co4 Ni1'
_cell_length_a 4.6754
_cell_length_b 4.6754
_cell_length_c 4.6754
_cell_angle_alpha 60.00
_cell_angle_beta 60.00
_cell_angle_gamma 60.00
_space_group_name_H-M_alt 'P 1'
_space_group_IT_number 1
loop_
_space_group_symop_operation_xyz
'x,y,z'
loop_
_atom_site_label
_atom_site_fract_x
_atom_site_fract_y
_atom_site_fract_z
Zn1 0.0000 0.0000 0.0000
Co1 0.8747 0.3751 0.3751
Co2 0.3751 0.3751 0.8747
Co3 0.3751 0.8747 0.3751
Co4 0.3751 0.3751 0.3751
Ni1 0.7500 0.7500 0.7500
```

Output
ΔH_f (0 K) = 0.183 eV per atom
symmetry = F-43m (216)

***

# 4
Material: Zn2CoNi6
Method: DFT, PBE
State: relaxed

CIF file:
```
data_Zn2CoNi6
_chemical_formula_sum 'Zn2 Co1 Ni6'
_cell_length_a 2.4831
_cell_length_b 6.8889
_cell_length_c 7.1848
_cell_angle_alpha 118.65
_cell_angle_beta 101.56
_cell_angle_gamma 90.00
_space_group_name_H-M_alt 'P 1'
_space_group_IT_number 1
loop_
_space_group_symop_operation_xyz
'x,y,z'
loop_
_atom_site_label
_atom_site_fract_x
_atom_site_fract_y
_atom_site_fract_z
Zn1 0.8279 0.3502 0.7004
Zn2 0.1721 0.6498 0.2996
Co1 0.0000 0.0000 0.0000
Ni1 0.6760 0.3434 0.3440
Ni2 0.3240 0.6566 0.6560
Ni3 0.3240 0.9994 0.6560
Ni4 0.5000 0.6797 0.0000
Ni5 0.5000 0.3203 0.0000
Ni6 0.6760 0.0006 0.3440
```

Output
ΔH_f (0 K) = 0.041 eV per atom
symmetry = C2/m (12)

***

# 5
Material: ZnCoNi2
Method: DFT, PBE
State: relaxed

CIF file:
```
data_ZnCoNi2
_chemical_formula_sum 'Zn1 Co1 Ni2'
_cell_length_a 5.7344
_cell_length_b 4.3442
_cell_length_c 2.5541
_cell_angle_alpha 90.07
_cell_angle_beta 63.44
_cell_angle_gamma 121.91
_space_group_name_H-M_alt 'P 1'
_space_group_IT_number 1
loop_
_space_group_symop_operation_xyz
'x,y,z'
loop_
_atom_site_label
_atom_site_fract_x
_atom_site_fract_y
_atom_site_fract_z
Co1 0.5000 0.5000 0.0000
Ni1 0.0000 0.0000 0.0000
Ni2 0.5000 0.0000 0.5000
Zn1 0.0000 0.5000 0.5000
```

Output
ΔH_f (0 K) = -0.059 eV per atom
symmetry = Cmmm (65)

***

# 6
Material: Zn2CoNi2
Method: DFT, PBE
State: relaxed

CIF file:
```
data_Zn2CoNi2
_chemical_formula_sum 'Zn4 Co2 Ni4'
_cell_length_a 6.8986
_cell_length_b 6.8986
_cell_length_c 2.6312
_cell_angle_alpha 90.00
_cell_angle_beta 90.00
_cell_angle_gamma 90.00
_space_group_name_H-M_alt 'P 1'
_space_group_IT_number 1
loop_
_space_group_symop_operation_xyz
'x,y,z'
loop_
_atom_site_label
_atom_site_fract_x
_atom_site_fract_y
_atom_site_fract_z
Ni1 0.3740 0.8740 0.0000
Ni2 0.8740 0.6260 0.0000
Ni3 0.6260 0.1260 0.0000
Ni4 0.1260 0.3740 0.0000
Zn1 0.1720 0.6720 0.5000
Zn2 0.6720 0.8280 0.5000
Zn3 0.8280 0.3280 0.5000
Zn4 0.3280 0.1720 0.5000
Co1 0.0000 0.0000 0.0000
Co2 0.5000 0.5000 0.0000
```

Output
ΔH_f (0 K) = 0.077 eV per atom
energy above the most stable polymorph in this dataset = 0.0 kJ per mole of atoms
symmetry = P4/mbm (127)

***

# 7
Material: Zn5CoNi
Method: DFT, PBE
State: relaxed

CIF file:
```
data_Zn5CoNi
_chemical_formula_sum 'Zn5 Co1 Ni1'
_cell_length_a 4.1698
_cell_length_b 4.1698
_cell_length_c 5.6716
_cell_angle_alpha 90.00
_cell_angle_beta 90.00
_cell_angle_gamma 90.00
_space_group_name_H-M_alt 'P 1'
_space_group_IT_number 1
loop_
_space_group_symop_operation_xyz
'x,y,z'
loop_
_atom_site_label
_atom_site_fract_x
_atom_site_fract_y
_atom_site_fract_z
Zn1 0.0000 0.5000 0.7718
Zn2 0.0000 0.5000 0.2282
Zn3 0.5000 0.0000 0.7718
Zn4 0.5000 0.0000 0.2282
Zn5 0.5000 0.5000 0.5000
Co1 0.5000 0.5000 0.0000
Ni1 0.0000 0.0000 0.5000
```

Output
ΔH_f (0 K) = 0.000 eV per atom
energy above the most stable polymorph in this dataset = 0.0 kJ per mole of atoms
symmetry = P4/mmm (123)

***

# 8
Material: Zn4CoNi5
Method: DFT, PBE
State: relaxed

CIF file:
```
data_Zn4CoNi5
_chemical_formula_sum 'Zn4 Co1 Ni5'
_cell_length_a 2.6504
_cell_length_b 2.6504
_cell_length_c 16.8990
_cell_angle_alpha 90.00
_cell_angle_beta 90.00
_cell_angle_gamma 90.00
_space_group_name_H-M_alt 'P 1'
_space_group_IT_number 1
loop_
_space_group_symop_operation_xyz
'x,y,z'
loop_
_atom_site_label
_atom_site_fract_x
_atom_site_fract_y
_atom_site_fract_z
Zn1 0.0000 0.0000 0.1979
Zn2 0.0000 0.0000 0.3994
Zn3 0.0000 0.0000 0.6006
Zn4 0.0000 0.0000 0.8021
Co1 0.0000 0.0000 0.0000
Ni1 0.5000 0.5000 0.0948
Ni2 0.5000 0.5000 0.2987
Ni3 0.5000 0.5000 0.5000
Ni4 0.5000 0.5000 0.7013
Ni5 0.5000 0.5000 0.9052
```

Output
ΔH_f (0 K) = -0.175 eV per atom
symmetry = P4/mmm (123)